# 1
Here is a geometry-optimized LiDy2Tl3 structure from the Alexandria database. Energies are from PBE.

For the size of the total moment, the calculation gives 0.0000 μB/atom. Its energy above the most stable polymorph in this dataset is 0.0 meV per atom.

It has space group P-3m1 (No. 164), with a = 5.2351 Å, b = 5.2351 Å, c = 12.9792 Å, α = 90.00°, β = 90.00° and γ = 120.00°. The inequivalent atoms are Li at (0.3333, 0.6667, 0.1596), Dy at (0.0000, 0.0000, 0.0000), Dy at (0.0000, 0.0000, 0.5000), Dy at (0.3333, 0.6667, 0.6760), Tl at (0.0000, 0.0000, 0.2442), Tl at (0.3333, 0.6667, 0.4100) and Tl at (0.3333, 0.6667, 0.9196).

# 2
Here is a geometry-optimized LiDy2Tl structure from the Alexandria database. Energies are from PBE.

For the size of the total moment, the calculation gives 0.0000 μB/atom. The calculation puts the total energy at -57.0 eV for the cell shown.

It has space group Fm-3m (No. 225), with a = 7.471 Å, b = 7.471 Å, c = 7.471 Å, α = 90.00°, β = 90.00° and γ = 90.00°. The inequivalent atoms are Li at (0.000, 0.000, 0.000), Dy at (0.250, 0.250, 0.250) and Tl at (0.000, 0.000, 0.500).

# 3
Here is a geometry-optimized Li2DyTl4 structure from the Alexandria database. Energies are from PBE.

For the size of the total moment, the calculation gives 0.0000 μB/atom. The calculation puts the total energy at -57.8 eV for the cell shown.

It has space group R-3m (No. 166, hexagonal axes), with a = 4.9538 Å, b = 4.9538 Å, c = 24.8867 Å, α = 90.00°, β = 90.00° and γ = 120.00°. The inequivalent atoms are Li at (0.0000, 0.0000, 0.2473), Dy at (0.0000, 0.0000, 0.5000), Tl at (0.0000, 0.0000, 0.1128) and Tl at (0.0000, 0.0000, 0.3674).